The following is a DFT calculation (PBE) of crystalline HfNiAsAu at its relaxed geometry.

Geometry as extended XYZ:
```
4
Lattice="-2.983 2.841 1.950 -0.486 4.242 -1.596 -3.805 1.180 -2.214" Properties=species:S:1:pos:R:3 pbc="T T T"
As 0.000 0.000 0.000
Au -3.637 4.131 -0.930
Hf -1.818 2.066 -0.465
Ni -5.455 6.197 -1.395
```

Output
* electronic total energy: -24.7 eV/cell
* V: 67.0 Å³ per cell
* SG: F-43m
* crystal system: cubic